## Pu4AsPSe2 (GGA-PBE)

Data for an optimized crystal structure of Pu4AsPSe2.

Formation energy (no corrections), eV/f.u.: -10.68
Total magnetization, μB per cell: 21.75

Cell: 4.121 7.155 7.144 Å, 70.59 90.00 90.00°
Site moments in Bohr magnetons follow the coordinates.
Fractional coordinates of all 8 atoms:
Pu 0.000 0.741 0.747  5.26
Pu 0.000 0.259 0.253  5.26
Pu 0.500 0.737 0.259  5.26
Pu 0.500 0.263 0.741  5.26
As 0.500 0.500 0.000  -0.14
P 0.000 0.500 0.500  -0.15
Se 0.000 0.000 0.000  -0.12
Se 0.500 0.000 0.500  -0.11

=====

## OsPb2Br (GGA-PBE)

Data for an optimized crystal structure of OsPb2Br.

Formation energy (no corrections), eV/f.u.: 2.64
Total magnetization, μB per cell: 1.10

Cell: 10.122 10.122 10.122 Å, 19.30 19.30 19.30°
Site moments in Bohr magnetons follow the coordinates.
Fractional coordinates of all 4 atoms:
Pb 0.017 0.017 0.017  0.00
Pb 0.247 0.247 0.247  0.00
Os 0.753 0.753 0.753  0.87
Br 0.483 0.483 0.483  0.14

=====

## NpMnPdPt (GGA-PBE)

Data for an optimized crystal structure of NpMnPdPt.

Total magnetization, μB per cell: 8.08
ΔE_f, eV per atom: -0.1691

Cell: 4.733 4.733 4.733 Å, 60.00 60.00 60.00°
Site moments in Bohr magnetons follow the coordinates.
Fractional coordinates of all 4 atoms:
Np 0.000 0.000 0.000  3.60
Mn 0.500 0.500 0.500  4.02
Pd 0.250 0.250 0.250  0.01
Pt 0.750 0.750 0.750  0.00

=====

| no. | calculated total energy (Ha/atom) |
| --- | --- |
| 1 | -0.391 |
| 2 | -0.162 |
| 3 | -0.313 |